1.
# CsHfTc3 (PBEsol, optimized geometry)
# E_tot: -6.95 eV/atom
# energy of formation from the pure elements: 2.10 eV/atom
# D(E_F): 5.73 states/eV per cell
data_CsHfTc3
_chemical_formula_sum 'Cs1 Hf1 Tc3'
_symmetry_space_group_name_H-M 'P m -3 m'
_symmetry_Int_Tables_number 221
_symmetry_space_group_name_Hall '-P 4 2 3'
_cell_length_a 4.950
_cell_length_b 4.950
_cell_length_c 4.950
_cell_angle_alpha 90.00
_cell_angle_beta 90.00
_cell_angle_gamma 90.00
loop_
_atom_site_label
_atom_site_type_symbol
_atom_site_fract_x
_atom_site_fract_y
_atom_site_fract_z
Cs1 Cs 0.000 0.000 0.000
Hf1 Hf 0.500 0.500 0.500
Tc1 Tc 0.000 0.500 0.500


2.
# CsHf2Te2 (PBEsol, optimized geometry)
# E_tot: -6.39 eV/atom
# D(E_F): 11.51 states/eV per cell
# ΔE_f (raw): -0.59 eV/atom
data_CsHf2Te2
_chemical_formula_sum 'Cs2 Hf4 Te4'
_symmetry_space_group_name_H-M 'I 4/m m m'
_symmetry_Int_Tables_number 139
_symmetry_space_group_name_Hall '-I 4 2'
_cell_length_a 4.155
_cell_length_b 4.155
_cell_length_c 17.667
_cell_angle_alpha 90.00
_cell_angle_beta 90.00
_cell_angle_gamma 90.00
loop_
_atom_site_label
_atom_site_type_symbol
_atom_site_fract_x
_atom_site_fract_y
_atom_site_fract_z
Cs1 Cs 0.000 0.000 0.000
Hf1 Hf 0.000 0.500 0.250
Te1 Te 0.000 0.000 0.368


3.
# CsYHf3 (PBEsol, optimized geometry)
# E_tot: -6.06 eV/atom
# energy of formation from the pure elements: 1.79 eV/atom
# D(E_F): 7.87 states/eV per cell
data_CsYHf3
_chemical_formula_sum 'Cs1 Y1 Hf3'
_symmetry_space_group_name_H-M 'P m -3 m'
_symmetry_Int_Tables_number 221
_symmetry_space_group_name_Hall '-P 4 2 3'
_cell_length_a 5.210
_cell_length_b 5.210
_cell_length_c 5.210
_cell_angle_alpha 90.00
_cell_angle_beta 90.00
_cell_angle_gamma 90.00
loop_
_atom_site_label
_atom_site_type_symbol
_atom_site_fract_x
_atom_site_fract_y
_atom_site_fract_z
Cs1 Cs 0.000 0.000 0.000
Y1 Y 0.500 0.500 0.500
Hf1 Hf 0.000 0.000 0.500


4.
# CsY2HfZn (PBEsol, optimized geometry)
# E_tot: -3.67 eV/atom
# energy of formation from the pure elements: 1.66 eV/atom
# D(E_F): 5.37 states/eV per cell
data_CsY2HfZn
_chemical_formula_sum 'Cs1 Y2 Hf1 Zn1'
_symmetry_space_group_name_H-M 'P 4/m m m'
_symmetry_Int_Tables_number 123
_symmetry_space_group_name_Hall '-P 4 2'
_cell_length_a 5.475
_cell_length_b 5.475
_cell_length_c 5.233
_cell_angle_alpha 90.00
_cell_angle_beta 90.00
_cell_angle_gamma 90.00
loop_
_atom_site_label
_atom_site_type_symbol
_atom_site_fract_x
_atom_site_fract_y
_atom_site_fract_z
Cs1 Cs 0.000 0.000 0.000
Y1 Y 0.000 0.500 0.000
Hf1 Hf 0.000 0.000 0.500
Zn1 Zn 0.500 0.500 0.500


5.
# Cs3Hg20 (PBEsol, optimized geometry)
# E_tot: -0.77 eV/atom
# energy of formation from the pure elements: -0.16 eV/atom
# D(E_F): 18.93 states/eV per cell
data_Cs3Hg20
_chemical_formula_sum 'Cs6 Hg40'
_symmetry_space_group_name_H-M 'P m -3 n'
_symmetry_Int_Tables_number 223
_symmetry_space_group_name_Hall '-P 4n 2 3'
_cell_length_a 10.912
_cell_length_b 10.912
_cell_length_c 10.912
_cell_angle_alpha 90.00
_cell_angle_beta 90.00
_cell_angle_gamma 90.00
loop_
_atom_site_label
_atom_site_type_symbol
_atom_site_fract_x
_atom_site_fract_y
_atom_site_fract_z
Cs1 Cs 0.000 0.250 0.500
Hg1 Hg 0.000 0.000 0.000
Hg2 Hg 0.000 0.256 0.135
Hg3 Hg 0.000 0.500 0.250
Hg4 Hg 0.250 0.250 0.250


6.
# CsHg (PBEsol, optimized geometry)
# E_tot: -0.97 eV/atom
# energy of formation from the pure elements: -0.22 eV/atom
# D(E_F): 5.04 states/eV per cell
data_CsHg
_chemical_formula_sum 'Cs4 Hg4'
_symmetry_space_group_name_H-M 'C m c m'
_symmetry_Int_Tables_number 63
_symmetry_space_group_name_Hall '-C 2c 2'
_cell_length_a 5.320
_cell_length_b 13.423
_cell_length_c 5.159
_cell_angle_alpha 90.00
_cell_angle_beta 90.00
_cell_angle_gamma 90.00
loop_
_atom_site_label
_atom_site_type_symbol
_atom_site_fract_x
_atom_site_fract_y
_atom_site_fract_z
Cs1 Cs 0.000 0.147 0.250
Hg1 Hg 0.000 0.444 0.250


7.
# CsHg (PBEsol, optimized geometry)
# E_tot: -0.97 eV/atom
# energy of formation from the pure elements: -0.21 eV/atom
# D(E_F): 5.40 states/eV per cell
data_CsHg
_chemical_formula_sum 'Cs4 Hg4'
_symmetry_space_group_name_H-M 'P -1'
_symmetry_Int_Tables_number 2
_cell_length_a 7.103
_cell_length_b 7.318
_cell_length_c 7.480
_cell_angle_alpha 106.76
_cell_angle_beta 103.76
_cell_angle_gamma 92.69
loop_
_symmetry_equiv_pos_as_xyz
'x,y,z'
'-x,-y,-z'
loop_
_atom_site_label
_atom_site_type_symbol
_atom_site_fract_x
_atom_site_fract_y
_atom_site_fract_z
Cs1 Cs 0.186 0.286 0.138
Cs2 Cs 0.254 0.840 0.544
Hg1 Hg 0.313 0.397 0.714
Hg2 Hg 0.370 0.757 0.050


8.
# CsHg3 (PBEsol, optimized geometry)
# E_tot: -0.86 eV/atom
# energy of formation from the pure elements: -0.20 eV/atom
# D(E_F): 3.47 states/eV per cell
data_CsHg3
_chemical_formula_sum 'Cs2 Hg6'
_symmetry_space_group_name_H-M 'P 63/m m c'
_symmetry_Int_Tables_number 194
_symmetry_space_group_name_Hall '-P 6c 2c'
_cell_length_a 7.7848
_cell_length_b 7.7848
_cell_length_c 5.2046
_cell_angle_alpha 90.00
_cell_angle_beta 90.00
_cell_angle_gamma 120.00
loop_
_atom_site_label
_atom_site_type_symbol
_atom_site_fract_x
_atom_site_fract_y
_atom_site_fract_z
Cs1 Cs 0.3333 0.6667 0.2500
Hg1 Hg 0.1355 0.2711 0.7500


9.
# CsHg2I2 (PBEsol, optimized geometry)
# E_tot: -1.72 eV/atom
# D(E_F): 2.83 states/eV per cell
# ΔE_f (raw): -0.60 eV/atom
data_CsHg2I2
_chemical_formula_sum 'Cs2 Hg4 I4'
_symmetry_space_group_name_H-M 'I 4/m m m'
_symmetry_Int_Tables_number 139
_symmetry_space_group_name_Hall '-I 4 2'
_cell_length_a 6.062
_cell_length_b 6.062
_cell_length_c 10.389
_cell_angle_alpha 90.00
_cell_angle_beta 90.00
_cell_angle_gamma 90.00
loop_
_atom_site_label
_atom_site_type_symbol
_atom_site_fract_x
_atom_site_fract_y
_atom_site_fract_z
Cs1 Cs 0.000 0.000 0.000
Hg1 Hg 0.000 0.000 0.366
I1 I 0.000 0.500 0.250


10.
# Cs2InHgI6 (PBEsol, optimized geometry)
# E_tot: -2.46 eV/atom
# D(E_F): 4.86 states/eV per cell
# ΔE_f (raw): -0.86 eV/atom
data_Cs2InHgI6
_chemical_formula_sum 'Cs8 In4 Hg4 I24'
_symmetry_space_group_name_H-M 'F m -3 m'
_symmetry_Int_Tables_number 225
_symmetry_space_group_name_Hall '-F 4 2 3'
_cell_length_a 11.901
_cell_length_b 11.901
_cell_length_c 11.901
_cell_angle_alpha 90.00
_cell_angle_beta 90.00
_cell_angle_gamma 90.00
loop_
_atom_site_label
_atom_site_type_symbol
_atom_site_fract_x
_atom_site_fract_y
_atom_site_fract_z
Cs1 Cs 0.250 0.250 0.250
In1 In 0.000 0.000 0.000
Hg1 Hg 0.000 0.000 0.500
I1 I 0.000 0.000 0.247


11.
# CsLiHgI2 (PBEsol, optimized geometry)
# E_tot: -1.70 eV/atom
# D(E_F): 1.00 states/eV per cell
# ΔE_f (raw): -0.30 eV/atom
data_CsLiHgI2
_chemical_formula_sum 'Cs1 Li1 Hg1 I2'
_symmetry_space_group_name_H-M 'P 4/m m m'
_symmetry_Int_Tables_number 123
_symmetry_space_group_name_Hall '-P 4 2'
_cell_length_a 6.751
_cell_length_b 6.751
_cell_length_c 6.101
_cell_angle_alpha 90.00
_cell_angle_beta 90.00
_cell_angle_gamma 90.00
loop_
_atom_site_label
_atom_site_type_symbol
_atom_site_fract_x
_atom_site_fract_y
_atom_site_fract_z
Cs1 Cs 0.000 0.000 0.000
Li1 Li 0.500 0.500 0.000
Hg1 Hg 0.000 0.000 0.500
I1 I 0.000 0.500 0.500


12.
# CsHgI2N (PBEsol, optimized geometry)
# E_tot: -1.84 eV/atom
# D(E_F): 10.97 states/eV per cell
# ΔE_f (raw): 0.88 eV/atom
data_CsHgI2N
_chemical_formula_sum 'Cs1 Hg1 I2 N1'
_symmetry_space_group_name_H-M 'P 4/m m m'
_symmetry_Int_Tables_number 123
_symmetry_space_group_name_Hall '-P 4 2'
_cell_length_a 7.191
_cell_length_b 7.191
_cell_length_c 6.295
_cell_angle_alpha 90.00
_cell_angle_beta 90.00
_cell_angle_gamma 90.00
loop_
_atom_site_label
_atom_site_type_symbol
_atom_site_fract_x
_atom_site_fract_y
_atom_site_fract_z
Cs1 Cs 0.000 0.000 0.000
Hg1 Hg 0.500 0.500 0.500
I1 I 0.000 0.500 0.000
N1 N 0.000 0.000 0.500